First-principles (PBE) data for a geometry-optimized CaPtO structure, as listed in Alexandria.

Its space-group type is Cm, No. 8. For the total moment, the calculation gives 0.0 μB per formula unit. The formation energy from raw total energies comes out at -1.500 eV/atom.

a = 3.3561 Å, b = 4.7974 Å, c = 6.6176 Å
α = 84.97°, β = 75.31°, γ = 90.00°
With the nearest neighbours (Å) after each atom.
Sites, in units of the cell vectors:
Ca 0.3675 0.5577 0.1537  3 O 2.33-2.34
Ca 0.5550 0.2123 0.7788  4 O 2.36-2.44
Pt 0.1497 0.7883 0.5894  2 O 2.15
Pt 0.7917 0.0044 0.3054  1 O 2.10
O 0.9295 0.2757 0.0298  1 Pt 2.10, 2 Ca 2.34
O 0.5462 0.7024 0.7964  2 Pt 2.15, 2 Ca 2.33-2.36

First-principles (PBE) data for a geometry-optimized CaPt2O structure, as listed in Alexandria.

Its space-group type is I4_1/amd, No. 141. For the total moment, the calculation gives 0.0 μB per formula unit. The formation energy from raw total energies comes out at -0.455 eV/atom.

a = 5.2248 Å, b = 5.2248 Å, c = 7.2610 Å
α = 68.91°, β = 68.91°, γ = 90.00°
With the nearest neighbours (Å) after each atom.
Sites, in units of the cell vectors:
Pt 0.3753 0.1250 0.2500  2 O 2.04
Pt 0.3750 0.6247 0.7500  2 O 2.04
Pt 0.3747 0.6250 0.2500  2 O 2.04
Pt 0.8750 0.6253 0.7500  2 O 2.04
Ca 0.0000 0.0000 0.0000  8 Pt 3.31, 4 O 3.69
Ca 0.7500 0.2500 0.5000  8 Pt 3.31, 4 O 3.69
O 0.5000 0.5000 0.0000  4 Pt 2.04
O 0.2500 0.7500 0.5000  4 Pt 2.04

First-principles (PBE) data for a geometry-optimized Ca2PtO2 structure, as listed in Alexandria.

The offset from the most stable computed form is 343 meV/atom. Its space-group type is P4/mbm, No. 127. For the total moment, the calculation gives 0.0 μB per formula unit. The formation energy from raw total energies comes out at -1.684 eV/atom.

a = 6.7514 Å, b = 6.7514 Å, c = 3.1774 Å
α = 90.00°, β = 90.00°, γ = 90.00°
With the nearest neighbours (Å) after each atom.
Sites, in units of the cell vectors:
Ca 0.3396 0.1604 0.5000  2 O 2.35
Ca 0.1604 0.6604 0.5000  2 O 2.35
Ca 0.8396 0.3396 0.5000  2 O 2.35
Ca 0.6604 0.8396 0.5000  2 O 2.35
O 0.3419 0.8419 0.0000  2 Ca 2.35, 2 Pt 2.54
O 0.8419 0.6581 0.0000  2 Ca 2.35, 2 Pt 2.54
O 0.1581 0.3419 0.0000  2 Ca 2.35, 2 Pt 2.54
O 0.6581 0.1581 0.0000  2 Ca 2.35, 2 Pt 2.54
Pt 0.0000 0.0000 0.0000  4 O 2.54
Pt 0.5000 0.5000 0.0000  4 O 2.54

First-principles (PBE) data for a geometry-optimized CaPtO structure, as listed in Alexandria.

Its space-group type is Pnma, No. 62. For the total moment, the calculation gives 0.0 μB per formula unit. The formation energy from raw total energies comes out at -1.570 eV/atom.

a = 5.5847 Å, b = 3.0779 Å, c = 11.6247 Å
α = 90.00°, β = 90.00°, γ = 90.00°
With the nearest neighbours (Å) after each atom.
Sites, in units of the cell vectors:
O 0.3622 0.7500 0.7968  1 Pt 2.06, 2 Ca 2.31
O 0.1378 0.2500 0.2968  1 Pt 2.06, 2 Ca 2.31
O 0.8622 0.7500 0.7032  1 Pt 2.06, 2 Ca 2.31
O 0.6378 0.2500 0.2032  1 Pt 2.06, 2 Ca 2.31
Ca 0.6640 0.2500 0.8261  4 O 2.31-2.37
Ca 0.8360 0.7500 0.3261  4 O 2.31-2.37
Ca 0.3360 0.7500 0.1739  4 O 2.31-2.37
Ca 0.1640 0.2500 0.6739  4 O 2.31-2.37
Pt 0.8707 0.2500 0.0654  1 O 2.06
Pt 0.1293 0.7500 0.9346  1 O 2.06
Pt 0.6293 0.7500 0.5654  1 O 2.06
Pt 0.3707 0.2500 0.4346  1 O 2.06

First-principles (PBE) data for a geometry-optimized CaPtO structure, as listed in Alexandria.

Its space-group type is P2_1/m, No. 11. For the total moment, the calculation gives 0.0 μB per formula unit. The formation energy from raw total energies comes out at -1.599 eV/atom.

a = 3.3678 Å, b = 8.7219 Å, c = 3.3485 Å
α = 90.00°, β = 90.00°, γ = 68.11°
With the nearest neighbours (Å) after each atom.
Sites, in units of the cell vectors:
O 0.3320 0.5615 0.6922  1 Pt 2.21, 5 Ca 2.36-2.41
O 0.0874 0.2855 0.1922  1 Pt 2.21, 5 Ca 2.36-2.41
Ca 0.6156 0.2642 0.6922  5 O 2.36-2.41
Ca 0.8037 0.5827 0.1922  5 O 2.36-2.41
Pt 0.0131 0.8331 0.6923  1 O 2.21
Pt 0.4062 0.0138 0.1923  1 O 2.21

First-principles (PBE) data for a geometry-optimized CaPtO structure, as listed in Alexandria.

Its space-group type is Pnma, No. 62. For the total moment, the calculation gives 0.0 μB per formula unit. The formation energy from raw total energies comes out at -1.469 eV/atom.

a = 5.6414 Å, b = 3.2230 Å, c = 10.5694 Å
α = 90.00°, β = 90.00°, γ = 90.00°
With the nearest neighbours (Å) after each atom.
Sites, in units of the cell vectors:
Pt 0.1304 0.7500 0.9404  2 O 2.33, 2 Pt 2.52
Pt 0.6304 0.7500 0.5596  2 O 2.33, 2 Pt 2.52
Pt 0.8696 0.2500 0.0596  2 O 2.33, 2 Pt 2.52
Pt 0.3696 0.2500 0.4404  2 O 2.33, 2 Pt 2.52
O 0.1674 0.7500 0.3242  2 Pt 2.33, 4 Ca 2.36-2.57
O 0.8326 0.2500 0.6758  2 Pt 2.33, 4 Ca 2.36-2.57
O 0.6674 0.7500 0.1758  2 Pt 2.33, 4 Ca 2.36-2.57
O 0.3326 0.2500 0.8242  2 Pt 2.33, 4 Ca 2.36-2.57
Ca 0.1368 0.7500 0.6656  4 O 2.36-2.57
Ca 0.8632 0.2500 0.3344  4 O 2.36-2.57
Ca 0.3632 0.2500 0.1656  4 O 2.36-2.57
Ca 0.6368 0.7500 0.8344  4 O 2.36-2.57

First-principles (PBE) data for a geometry-optimized CaPtO structure, as listed in Alexandria.

Its space-group type is Amm2, No. 38. For the total moment, the calculation gives 0.2 μB per formula unit. The formation energy from raw total energies comes out at -1.525 eV/atom.

a = 2.9990 Å, b = 9.8650 Å, c = 3.1939 Å
α = 90.01°, β = 90.00°, γ = 81.28°
With the nearest neighbours (Å) after each atom.
Sites, in units of the cell vectors:
Ca 0.1944 0.6060 0.7692  4 O 2.39
Ca 0.3460 0.3051 0.2690  6 O 2.29-2.49
O 0.7430 0.5090 0.2692  6 Ca 2.39-2.49
O 0.8803 0.2365 0.7689  1 Pt 2.04
Pt 0.5692 0.8571 0.2681  6 Pt 2.75-3.00
Pt 0.9844 0.0270 0.7683  1 O 2.04

First-principles (PBE) data for a geometry-optimized Ca2PtO2 structure, as listed in Alexandria.

The offset from the most stable computed form is 0 meV/atom. Its space-group type is I4/mmm, No. 139. For the total moment, the calculation gives 0.0 μB per formula unit. The formation energy from raw total energies comes out at -2.027 eV/atom.

a = 4.6960 Å, b = 4.6960 Å, c = 5.4483 Å
α = 64.47°, β = 64.47°, γ = 90.00°
With the nearest neighbours (Å) after each atom.
Sites, in units of the cell vectors:
Ca 0.7500 0.2500 0.5000  4 O 2.35
Ca 0.2500 0.7500 0.5000  4 O 2.35
Pt 0.0000 0.0000 0.0000  2 O 2.06
O 0.2383 0.2383 0.5233  1 Pt 2.06
O 0.7617 0.7617 0.4767  1 Pt 2.06

First-principles (PBE) data for a geometry-optimized CaPtO structure, as listed in Alexandria.

Its space-group type is P6_3/mmc, No. 194. For the total moment, the calculation gives 0.0 μB per formula unit. The formation energy from raw total energies comes out at -0.806 eV/atom.

a = 3.9406 Å, b = 3.9406 Å, c = 7.4942 Å
α = 90.00°, β = 90.00°, γ = 120.00°
With the nearest neighbours (Å) after each atom.
Sites, in units of the cell vectors:
Pt 0.3333 0.6667 0.7500  3 O 2.28
Pt 0.6667 0.3333 0.2500  3 O 2.28
O 0.6667 0.3333 0.7500  3 Pt 2.28
O 0.3333 0.6667 0.2500  3 Pt 2.28
Ca 0.0000 0.0000 0.5000  6 O 2.95, 6 Pt 2.95
Ca 0.0000 0.0000 0.0000  6 Pt 2.95, 6 O 2.95

First-principles (PBE) data for a geometry-optimized CaPtO structure, as listed in Alexandria.

Its space-group type is P1, No. 1. For the total moment, the calculation gives 0.0 μB per formula unit. The formation energy from raw total energies comes out at -1.485 eV/atom.

a = 3.5220 Å, b = 6.7794 Å, c = 4.8891 Å
α = 77.50°, β = 111.03°, γ = 75.01°
With the nearest neighbours (Å) after each atom.
Sites, in units of the cell vectors:
Pt 0.2285 0.9162 0.5766  2 O 2.07-2.14
Pt 0.9340 0.9279 0.9990  3 Pt 2.61-2.63, 2 Ca 2.88-2.89
Ca 0.7943 0.5982 0.3916  3 O 2.23-2.36
Ca 0.2936 0.2785 0.0658  2 O 2.34
O 0.9799 0.2524 0.4138  1 Pt 2.07, 1 Ca 2.23
O 0.4870 0.5676 0.7474  1 Pt 2.14, 2 Ca 2.36

First-principles (PBE) data for a geometry-optimized CaPtO2 structure, as listed in Alexandria.

Its space-group type is R-3m, No. 166. For the total moment, the calculation gives 1.4 μB per formula unit. The formation energy from raw total energies comes out at -1.447 eV/atom.

a = 6.5451 Å, b = 6.5451 Å, c = 6.5451 Å
α = 29.83°, β = 29.83°, γ = 29.83°
With the nearest neighbours (Å) after each atom.
Sites, in units of the cell vectors:
O 0.1019 0.1019 0.1019  1 Pt 1.91
O 0.8981 0.8981 0.8981  1 Pt 1.91
Pt 0.0000 0.0000 0.0000  2 O 1.91
Ca 0.5000 0.5000 0.5000  6 O 2.29

First-principles (PBE) data for a geometry-optimized CaPtO structure, as listed in Alexandria.

Its space-group type is P4/nmm, No. 129. For the total moment, the calculation gives 0.5 μB per formula unit. The formation energy from raw total energies comes out at -1.315 eV/atom.

a = 3.7392 Å, b = 3.7392 Å, c = 8.0488 Å
α = 90.00°, β = 90.00°, γ = 90.00°
With the nearest neighbours (Å) after each atom.
Sites, in units of the cell vectors:
O 0.5000 0.5000 0.5000  4 Ca 2.23
O 0.0000 0.0000 0.5000  4 Ca 2.23
Pt 0.5000 0.0000 0.9733  4 Pt 2.68
Pt 0.0000 0.5000 0.0267  4 Pt 2.68
Ca 0.0000 0.5000 0.6500  4 O 2.23
Ca 0.5000 0.0000 0.3500  4 O 2.23